(1)
# PaTaOs2, relaxed, DFT PBE-GGA
data_PaTaOs2
_chemical_formula_sum 'Pa1 Ta1 Os2'
_symmetry_space_group_name_H-M 'P 4/m m m'
_symmetry_Int_Tables_number 123
_symmetry_space_group_name_Hall '-P 4 2'
_cell_length_a 3.112
_cell_length_b 3.112
_cell_length_c 7.447
_cell_angle_alpha 90.00
_cell_angle_beta 90.00
_cell_angle_gamma 90.00
loop_
_atom_site_label
_atom_site_fract_x
_atom_site_fract_y
_atom_site_fract_z
Pa1 0.000 0.000 0.000
Ta1 0.000 0.000 0.500
Os1 0.500 0.500 0.287
# Crystal system: tetragonal
# Distance to the lowest polymorph of the same formula (kJ per mole of atoms): 0.0
# Energy of formation from the pure elements (meV/atom): -353
# Final energy (eV/atom): -11.305

(2)
# TbPa2Os, relaxed, DFT PBE-GGA
data_TbPa2Os
_chemical_formula_sum 'Tb1 Pa2 Os1'
_symmetry_space_group_name_H-M 'P 4/m m m'
_symmetry_Int_Tables_number 123
_symmetry_space_group_name_Hall '-P 4 2'
_cell_length_a 3.627
_cell_length_b 3.627
_cell_length_c 7.484
_cell_angle_alpha 90.00
_cell_angle_beta 90.00
_cell_angle_gamma 90.00
loop_
_atom_site_label
_atom_site_fract_x
_atom_site_fract_y
_atom_site_fract_z
Tb1 0.000 0.000 0.000
Pa1 0.500 0.500 0.309
Os1 0.000 0.000 0.500
# Crystal system: tetragonal
# Distance to the lowest polymorph of the same formula (kJ per mole of atoms): 0.0
# Energy of formation from the pure elements (meV/atom): 4
# Final energy (eV/atom): -8.709

(3)
# TbPaOs2, relaxed, DFT PBE-GGA
data_TbPaOs2
_chemical_formula_sum 'Tb1 Pa1 Os2'
_symmetry_space_group_name_H-M 'P 4/m m m'
_symmetry_Int_Tables_number 123
_symmetry_space_group_name_Hall '-P 4 2'
_cell_length_a 3.487
_cell_length_b 3.487
_cell_length_c 6.787
_cell_angle_alpha 90.00
_cell_angle_beta 90.00
_cell_angle_gamma 90.00
loop_
_atom_site_label
_atom_site_fract_x
_atom_site_fract_y
_atom_site_fract_z
Tb1 0.000 0.000 0.000
Pa1 0.000 0.000 0.500
Os1 0.500 0.500 0.275
# Crystal system: tetragonal
# Distance to the lowest polymorph of the same formula (kJ per mole of atoms): 0.0
# Energy of formation from the pure elements (meV/atom): -261
# Final energy (eV/atom): -9.407

(4)
# TbPa2Os, relaxed, DFT PBE-GGA
data_TbPa2Os
_chemical_formula_sum 'Tb3 Pa6 Os3'
_symmetry_space_group_name_H-M 'R -3 m'
_symmetry_Int_Tables_number 166
_symmetry_space_group_name_Hall '-R 3 2"'
_cell_length_a 3.6407
_cell_length_b 3.6407
_cell_length_c 29.6244
_cell_angle_alpha 90.00
_cell_angle_beta 90.00
_cell_angle_gamma 120.00
loop_
_atom_site_label
_atom_site_fract_x
_atom_site_fract_y
_atom_site_fract_z
Tb1 0.0000 0.0000 0.0000
Pa1 0.0000 0.0000 0.1073
Os1 0.0000 0.0000 0.5000
# Crystal system: trigonal
# Distance to the lowest polymorph of the same formula (kJ per mole of atoms): 30.9
# Energy of formation from the pure elements (meV/atom): 324
# Final energy (eV/atom): -8.389

(5)
# TbPaOs2, relaxed, DFT PBE-GGA
data_TbPaOs2
_chemical_formula_sum 'Tb3 Pa3 Os6'
_symmetry_space_group_name_H-M 'R -3 m'
_symmetry_Int_Tables_number 166
_symmetry_space_group_name_Hall '-R 3 2"'
_cell_length_a 3.6621
_cell_length_b 3.6621
_cell_length_c 22.8247
_cell_angle_alpha 90.00
_cell_angle_beta 90.00
_cell_angle_gamma 120.00
loop_
_atom_site_label
_atom_site_fract_x
_atom_site_fract_y
_atom_site_fract_z
Tb1 0.0000 0.0000 0.0000
Pa1 0.0000 0.0000 0.5000
Os1 0.0000 0.0000 0.2437
# Crystal system: trigonal
# Distance to the lowest polymorph of the same formula (kJ per mole of atoms): 35.3
# Energy of formation from the pure elements (meV/atom): 105
# Final energy (eV/atom): -9.041

(6)
# TbPaOs2, relaxed, DFT PBE-GGA
data_TbPaOs2
_chemical_formula_sum 'Tb4 Pa4 Os8'
_symmetry_space_group_name_H-M 'F m -3 m'
_symmetry_Int_Tables_number 225
_symmetry_space_group_name_Hall '-F 4 2 3'
_cell_length_a 6.880
_cell_length_b 6.880
_cell_length_c 6.880
_cell_angle_alpha 90.00
_cell_angle_beta 90.00
_cell_angle_gamma 90.00
loop_
_atom_site_label
_atom_site_fract_x
_atom_site_fract_y
_atom_site_fract_z
Tb1 0.000 0.000 0.000
Pa1 0.000 0.000 0.500
Os1 0.250 0.250 0.250
# Crystal system: cubic
# Distance to the lowest polymorph of the same formula (kJ per mole of atoms): 7.0
# Energy of formation from the pure elements (meV/atom): -189
# Final energy (eV/atom): -9.335

(7)
# Tb2PaOs2, relaxed, DFT PBE-GGA
data_Tb2PaOs2
_chemical_formula_sum 'Tb8 Pa4 Os8'
_symmetry_space_group_name_H-M 'C 1 2/c 1'
_symmetry_Int_Tables_number 15
_cell_length_a 9.959
_cell_length_b 5.866
_cell_length_c 8.077
_cell_angle_alpha 90.00
_cell_angle_beta 101.50
_cell_angle_gamma 90.00
loop_
_symmetry_equiv_pos_as_xyz
'x,y,z'
'-x,-y,-z'
'-x,y,-z+1/2'
'x,-y,z+1/2'
'x+1/2,y+1/2,z'
'-x+1/2,-y+1/2,-z'
'-x+1/2,y+1/2,-z+1/2'
'x+1/2,-y+1/2,z+1/2'
loop_
_atom_site_label
_atom_site_fract_x
_atom_site_fract_y
_atom_site_fract_z
Tb1 0.149 0.135 0.150
Pa1 0.000 0.361 0.750
Os1 0.134 0.364 0.508
# Crystal system: monoclinic
# Energy of formation from the pure elements (meV/atom): -339
# Final energy (eV/atom): -8.582

(8)
# Tb2PaOs, relaxed, DFT PBE-GGA
data_Tb2PaOs
_chemical_formula_sum 'Tb6 Pa3 Os3'
_symmetry_space_group_name_H-M 'R -3 m'
_symmetry_Int_Tables_number 166
_symmetry_space_group_name_Hall '-R 3 2"'
_cell_length_a 3.2380
_cell_length_b 3.2380
_cell_length_c 32.4016
_cell_angle_alpha 90.00
_cell_angle_beta 90.00
_cell_angle_gamma 120.00
loop_
_atom_site_label
_atom_site_fract_x
_atom_site_fract_y
_atom_site_fract_z
Tb1 0.0000 0.0000 0.1003
Pa1 0.0000 0.0000 0.0000
Os1 0.0000 0.0000 0.5000
# Crystal system: trigonal
# Energy of formation from the pure elements (meV/atom): 364
# Final energy (eV/atom): -7.133

Which of these has the lowest energy of formation from the pure elements? PaTaOs2